Density functional theory data (SCAN) for a PBEsol-optimized structure of CdTc2W.

Cell: 2.7820 2.7820 8.0784 Å, 90.00 90.00 90.00°
Closest atoms and distances in Å follow each position.
Fractional positions:
Cd 0.5000 0.5000 0.7575  4 Cd 2.78, 4 Tc 2.94, 4 W 2.99
Tc 0.0000 0.0000 0.0280  8 Tc 2.59-2.78
Tc 0.5000 0.5000 0.2364  8 Tc 2.59-2.78, 4 W 2.77
W 0.0000 0.0000 0.4781  4 Tc 2.77, 4 W 2.78, 4 Cd 2.99

Summary:
uncorrected energy = -168.99 eV per cell
DOS at the Fermi energy = 2.98 states/eV/cell
symmetry = P4mm (99)
formation energy from the elements = 309 meV/atom

Density functional theory data (SCAN) for a PBEsol-optimized structure of Zr2TaCo.

Cell: 3.3035 4.5387 5.4378 Å, 114.67 107.68 90.00°
Closest atoms and distances in Å follow each position.
Fractional positions:
Co 0.5081 0.5081 0.0162  2 Ta 2.63, 6 Zr 2.79-2.81
Ta 0.2279 0.7279 0.4559  2 Co 2.63, 4 Zr 2.83
Zr 0.9976 0.9976 0.9953  4 Co 2.81, 4 Zr 3.00-3.13, 4 Ta 3.01-3.12
Zr 0.7663 0.2663 0.5326  2 Co 2.79, 4 Ta 2.83, 2 Zr 3.00

Summary:
uncorrected energy = -145.36 eV per cell
DOS at the Fermi energy = 3.79 states/eV/cell
E above lowest polymorph = 54 meV per atom
symmetry = Imm2 (44)
formation energy from the elements = -20 meV/atom

Density functional theory data (SCAN) for a PBEsol-optimized structure of LiScIr4.

Cell: 5.1431 5.1431 5.1431 Å, 60.00 60.00 60.00°
Closest atoms and distances in Å follow each position.
Fractional positions:
Sc 0.0000 0.0000 0.0000  12 Ir 3.02, 4 Li 3.15
Ir 0.3751 0.3751 0.3751  6 Ir 2.57
Ir 0.3751 0.3751 0.8746  6 Ir 2.57
Ir 0.8746 0.3751 0.3751  6 Ir 2.57
Ir 0.3751 0.8746 0.3751  6 Ir 2.57
Li 0.7500 0.7500 0.7500  12 Ir 3.02, 4 Sc 3.15

Summary:
uncorrected energy = -304.25 eV per cell
DOS at the Fermi energy = 5.08 states/eV/cell
symmetry = F-43m (216)
formation energy from the elements = -538 meV/atom

Density functional theory data (SCAN) for a PBEsol-optimized structure of In2BrCl.

Cell: 3.8083 5.3546 5.3546 Å, 89.99 89.90 89.90°
Closest atoms and distances in Å follow each position.
Fractional positions:
In 0.0000 0.0000 0.5000  4 Cl 3.28-3.29, 4 Br 3.28-3.29
In 0.0000 0.5000 0.0000  4 Br 3.28-3.29, 4 Cl 3.28-3.29
Br 0.5000 0.5000 0.5000  8 In 3.28-3.29
Cl 0.5000 0.0000 0.0000  8 In 3.28-3.29

Summary:
uncorrected energy = -97.09 eV per cell
formation energy without anion corrections = -0.719 eV/atom
E above lowest polymorph = 62 meV per atom
symmetry = C2/m (12)

Density functional theory data (SCAN) for a PBEsol-optimized structure of TlAgOs2.

Cell: 2.7856 4.2814 6.6123 Å, 100.04 90.00 108.98°
Closest atoms and distances in Å follow each position.
Fractional positions:
Ag 0.7512 0.5024 0.2263  2 Ag 2.79, 5 Os 2.79-3.08, 3 Tl 2.85-2.95
Os 0.0011 0.0022 0.9612  3 Os 2.36-2.56
Os 0.2429 0.4857 0.8089  3 Os 2.36-2.56
Tl 0.5049 0.0098 0.5036  2 Tl 2.79, 3 Ag 2.85-2.95, 2 Os 2.88

Summary:
uncorrected energy = -244.38 eV per cell
DOS at the Fermi energy = 2.47 states/eV/cell
E above lowest polymorph = 0 meV per atom
symmetry = Cm (8)
formation energy from the elements = 777 meV/atom

Density functional theory data (SCAN) for a PBEsol-optimized structure of CsAlHg3.

Cell: 5.3352 5.3352 5.3352 Å, 90.00 90.00 90.00°
Closest atoms and distances in Å follow each position.
Fractional positions:
Cs 0.5000 0.5000 0.5000  12 Hg 3.77
Hg 0.0000 0.5000 0.0000  2 Al 2.67
Hg 0.0000 0.0000 0.5000  2 Al 2.67
Hg 0.5000 0.0000 0.0000  2 Al 2.67
Al 0.0000 0.0000 0.0000  6 Hg 2.67

Summary:
uncorrected energy = -251.30 eV per cell
DOS at the Fermi energy = 2.09 states/eV/cell
symmetry = Pm-3m (221)
formation energy from the elements = -247 meV/atom

Density functional theory data (SCAN) for a PBEsol-optimized structure of In2GeAsCl.

Cell: 4.8428 5.3647 5.3647 Å, 90.00 90.00 90.00°
Closest atoms and distances in Å follow each position.
Fractional positions:
As 0.5000 0.0000 0.0000  2 Cl 2.42
Cl 0.0000 0.0000 0.0000  2 As 2.42, 4 In 2.68
Ge 0.5000 0.5000 0.5000  8 In 3.61, 4 As 3.79
In 0.0000 0.0000 0.5000  2 Cl 2.68
In 0.0000 0.5000 0.0000  2 Cl 2.68

Summary:
uncorrected energy = -110.80 eV per cell
formation energy without anion corrections = 0.646 eV/atom
DOS at the Fermi energy = 2.71 states/eV/cell
symmetry = P4/mmm (123)

Density functional theory data (SCAN) for a PBEsol-optimized structure of ZrAs2Ru.

Cell: 3.0011 5.1687 5.2908 Å, 119.24 106.48 90.00°
Closest atoms and distances in Å follow each position.
Fractional positions:
Ru 0.0000 0.5000 0.0000  4 As 2.45
As 0.7222 0.7222 0.4444  2 Ru 2.45
As 0.2778 0.2778 0.5556  2 Ru 2.45
Zr 0.5000 0.0000 0.0000  4 As 2.85, 4 Ru 2.99, 2 Zr 3.00

Summary:
uncorrected energy = -107.15 eV per cell
DOS at the Fermi energy = 2.18 states/eV/cell
E above lowest polymorph = 391 meV per atom
symmetry = Immm (71)
formation energy from the elements = -312 meV/atom

Density functional theory data (SCAN) for a PBEsol-optimized structure of CdInSnP2.

Cell: 4.8862 4.8862 5.5758 Å, 90.00 90.00 90.00°
Closest atoms and distances in Å follow each position.
Fractional positions:
P 0.0000 0.5000 0.0000  2 Cd 2.44
P 0.5000 0.0000 0.0000  2 Cd 2.44
Cd 0.0000 0.0000 0.0000  4 P 2.44
Sn 0.0000 0.0000 0.5000  2 Cd 2.79
In 0.5000 0.5000 0.5000  4 Sn 3.46, 8 P 3.71

Summary:
uncorrected energy = -115.88 eV per cell
DOS at the Fermi energy = 3.09 states/eV/cell
symmetry = P4/mmm (123)
formation energy from the elements = 929 meV/atom

Density functional theory data (SCAN) for a PBEsol-optimized structure of Eu2CoPtO6.

Cell: 5.3656 5.6678 7.6678 Å, 90.00 90.02 90.00°
Closest atoms and distances in Å follow each position.
Fractional positions:
Eu 0.4821 0.0661 0.2499  6 O 2.32-2.56
Eu 0.5179 0.9339 0.7501  6 O 2.32-2.56
Eu 0.0179 0.5661 0.2501  6 O 2.32-2.56
Eu 0.9821 0.4339 0.7499  6 O 2.32-2.56
Co 0.5000 0.5000 0.0000  6 O 1.96-2.02
Co 0.0000 0.0000 0.5000  6 O 1.96-2.02
O 0.5964 0.4726 0.2463  1 Co 1.96, 1 Pt 2.02
O 0.4036 0.5274 0.7537  1 Co 1.96, 1 Pt 2.02
O 0.9036 0.9726 0.2537  1 Co 1.96, 1 Pt 2.02
O 0.0964 0.0274 0.7463  1 Co 1.96, 1 Pt 2.02
O 0.3050 0.8012 0.4518  1 Co 2.02, 1 Pt 2.04
O 0.6950 0.1988 0.5482  1 Co 2.02, 1 Pt 2.04
O 0.1950 0.3012 0.0482  1 Co 2.02, 1 Pt 2.04
O 0.8050 0.6988 0.9518  1 Co 2.02, 1 Pt 2.04
O 0.1930 0.2986 0.4509  1 Co 2.02, 1 Pt 2.04
O 0.8070 0.7014 0.5491  1 Co 2.02, 1 Pt 2.04
O 0.3070 0.7986 0.0491  1 Co 2.02, 1 Pt 2.04
O 0.6930 0.2014 0.9509  1 Co 2.02, 1 Pt 2.04
Pt 0.5000 0.5000 0.5000  6 O 2.02-2.04
Pt 0.0000 0.0000 0.0000  6 O 2.02-2.04

Summary:
uncorrected energy = -505.55 eV per cell
formation energy without anion corrections = -2.047 eV/atom
DOS at the Fermi energy = 26.53 states/eV/cell
symmetry = P2_1/c (14)

Density functional theory data (SCAN) for a PBEsol-optimized structure of LaSi2Ru.

Cell: 3.0558 4.1483 5.8710 Å, 90.00 97.97 90.00°
Closest atoms and distances in Å follow each position.
Fractional positions:
La 0.5000 0.5000 0.0000  2 La 3.06, 8 Si 3.09-3.19, 2 Ru 3.12
Ru 0.0000 0.5000 0.5000  4 Si 2.41
Si 0.8831 0.0000 0.6912  2 Ru 2.41, 1 Si 2.45
Si 0.1169 0.0000 0.3088  2 Ru 2.41, 1 Si 2.45

Summary:
uncorrected energy = -99.21 eV per cell
formation energy without anion corrections = -0.311 eV/atom
DOS at the Fermi energy = 2.02 states/eV/cell
symmetry = P2/m (10)

Density functional theory data (SCAN) for a PBEsol-optimized structure of Mg2Cr3GaS8.

Cell: 7.1480 7.1480 7.1627 Å, 60.07 60.07 60.00°
Closest atoms and distances in Å follow each position.
Fractional positions:
Mg 0.8754 0.8754 0.3737  4 S 2.42-2.44
Mg 0.1246 0.1246 0.6263  4 S 2.42-2.44
Cr 0.0000 0.5000 0.0000  6 S 2.39-2.40
Cr 0.5000 0.5000 0.0000  6 S 2.39-2.40
Cr 0.5000 0.0000 0.0000  6 S 2.39-2.40
Ga 0.5000 0.5000 0.5000  6 S 2.44
S 0.7365 0.7365 0.7905  3 Cr 2.40, 1 Mg 2.44
S 0.7106 0.2595 0.7704  2 Cr 2.39, 1 Mg 2.42, 1 Ga 2.44
S 0.2595 0.7106 0.7704  2 Cr 2.39, 1 Mg 2.42, 1 Ga 2.44
S 0.2595 0.2595 0.7704  2 Cr 2.39, 1 Mg 2.42, 1 Ga 2.44
S 0.7405 0.2894 0.2296  2 Cr 2.39, 1 Mg 2.42, 1 Ga 2.44
S 0.7405 0.7405 0.2296  2 Cr 2.39, 1 Mg 2.42, 1 Ga 2.44
S 0.2635 0.2635 0.2095  3 Cr 2.40, 1 Mg 2.44
S 0.2894 0.7405 0.2296  2 Cr 2.39, 1 Mg 2.42, 1 Ga 2.44

Summary:
uncorrected energy = -175.41 eV per cell
formation energy without anion corrections = -1.210 eV/atom
symmetry = R-3m (166)